[1]
A plane-wave DFT calculation with PBE was carried out for crystalline BaNi2Ru at its relaxed geometry.

As for the total moment: 3.8 μB per cell. The calculation puts the density of states at the Fermi level at 4.75 states/eV/f.u. The value obtained for the density is 8.289 g/cm3. The value obtained for the excess energy over the best structure of this formula in the dataset is 0.790 eV per atom.

Geometry as CIF:
```
data_BaNi2Ru
_cell_length_a 4.411
_cell_length_b 4.411
_cell_length_c 7.327
_cell_angle_alpha 90.00
_cell_angle_beta 90.00
_cell_angle_gamma 90.00
_space_group_name_H-M_alt 'I -4 m 2'
_space_group_IT_number 119
_space_group_name_Hall 'I -4 -2'
loop_
_atom_site_label
_atom_site_fract_x
_atom_site_fract_y
_atom_site_fract_z
Ba1 0.000 0.000 0.000
Ni1 0.000 0.000 0.500
Ni2 0.000 0.500 0.750
Ru1 0.000 0.500 0.250
```

---

[2]
A plane-wave DFT calculation with PBE was carried out for crystalline Mn2MoRu at its relaxed geometry.

As for the total moment: 15.0 μB per cell. The calculation puts the density of states at the Fermi level at 3.64 states/eV/f.u. The value obtained for the density is 9.391 g/cm3.

Geometry as CIF:
```
data_Mn2MoRu
_cell_length_a 6.010
_cell_length_b 6.010
_cell_length_c 6.010
_cell_angle_alpha 90.00
_cell_angle_beta 90.00
_cell_angle_gamma 90.00
_space_group_name_H-M_alt 'F -4 3 m'
_space_group_IT_number 216
_space_group_name_Hall 'F -4 2 3'
loop_
_atom_site_label
_atom_site_fract_x
_atom_site_fract_y
_atom_site_fract_z
Mn1 0.000 0.000 0.000
Mn2 0.250 0.250 0.250
Mo1 0.000 0.000 0.500
Ru1 0.250 0.250 0.750
```

---

[3]
A plane-wave DFT calculation with PBE was carried out for crystalline LiPmYSe3 at its relaxed geometry.

As for the total moment: 0.0 μB per cell. The calculation puts the density of states at the Fermi level at 2.11 states/eV/f.u. Its uncorrected formation energy is -10.033 eV/f.u. The value obtained for the density is 5.444 g/cm3.

Geometry as CIF:
```
data_LiPmYSe3
_cell_length_a 8.444
_cell_length_b 4.010
_cell_length_c 8.829
_cell_angle_alpha 90.00
_cell_angle_beta 102.87
_cell_angle_gamma 90.00
_space_group_name_H-M_alt 'P 1 21/m 1'
_space_group_IT_number 11
_space_group_name_Hall '-P 2yb'
loop_
_atom_site_label
_atom_site_fract_x
_atom_site_fract_y
_atom_site_fract_z
Li1 0.086 0.250 0.084
Pm1 0.188 0.250 0.725
Y1 0.335 0.750 0.337
Se1 0.094 0.250 0.370
Se2 0.222 0.750 0.998
Se3 0.429 0.750 0.674
```

---

[4]
A plane-wave DFT calculation with PBE was carried out for crystalline AcPm2In2Cu2 at its relaxed geometry.

As for the total moment: 0.0 μB per cell. The calculation puts the density of states at the Fermi level at 4.90 states/eV/f.u. The value obtained for the density is 7.649 g/cm3.

Geometry as CIF:
```
data_AcPm2In2Cu2
_cell_length_a 4.7626
_cell_length_b 4.7626
_cell_length_c 28.9697
_cell_angle_alpha 90.00
_cell_angle_beta 90.00
_cell_angle_gamma 120.00
_space_group_name_H-M_alt 'R -3 m'
_space_group_IT_number 166
_space_group_name_Hall '-R 3 2"'
loop_
_atom_site_label
_atom_site_fract_x
_atom_site_fract_y
_atom_site_fract_z
Ac1 0.0000 0.0000 0.0000
Pm1 0.0000 0.0000 0.1281
In1 0.0000 0.0000 0.2562
Cu1 0.0000 0.0000 0.4109
```

---

[5]
A plane-wave DFT calculation with PBE was carried out for crystalline Zr2ZnCd at its relaxed geometry.

As for the total moment: 0.0 μB per cell. The calculation puts the density of states at the Fermi level at 2.44 states/eV/f.u. The value obtained for the density is 6.594 g/cm3. The value obtained for the excess energy over the best structure of this formula in the dataset is 0.583 eV per atom.

Geometry as CIF:
```
data_Zr2ZnCd
_cell_length_a 3.001
_cell_length_b 5.108
_cell_length_c 11.837
_cell_angle_alpha 90.00
_cell_angle_beta 90.00
_cell_angle_gamma 90.00
_space_group_name_H-M_alt 'I m m m'
_space_group_IT_number 71
_space_group_name_Hall '-I 2 2'
loop_
_atom_site_label
_atom_site_fract_x
_atom_site_fract_y
_atom_site_fract_z
Zr1 0.000 0.000 0.240
Zn1 0.000 0.000 0.000
Cd1 0.000 0.000 0.500
```

---

[6]
A plane-wave DFT calculation with PBE was carried out for crystalline AlInOs2 at its relaxed geometry.

As for the total moment: 0.0 μB per cell. The calculation puts the density of states at the Fermi level at 1.41 states/eV/f.u. The value obtained for the density is 13.715 g/cm3. The value obtained for the excess energy over the best structure of this formula in the dataset is 0.112 eV per atom.

Geometry as CIF:
```
data_AlInOs2
_cell_length_a 2.8556
_cell_length_b 2.8556
_cell_length_c 26.8629
_cell_angle_alpha 90.00
_cell_angle_beta 90.00
_cell_angle_gamma 120.00
_space_group_name_H-M_alt 'R -3 m'
_space_group_IT_number 166
_space_group_name_Hall '-R 3 2"'
loop_
_atom_site_label
_atom_site_fract_x
_atom_site_fract_y
_atom_site_fract_z
Al1 0.0000 0.0000 0.0000
In1 0.0000 0.0000 0.5000
Os1 0.0000 0.0000 0.2581
```

---

[7]
A plane-wave DFT calculation with PBE was carried out for crystalline La2W at its relaxed geometry.

As for the total moment: 1.1 μB per cell. The calculation puts the density of states at the Fermi level at 3.96 states/eV/f.u. The value obtained for the density is 8.259 g/cm3. The value obtained for the excess energy over the best structure of this formula in the dataset is 0.401 eV per atom.

Geometry as CIF:
```
data_La2W
_cell_length_a 5.256
_cell_length_b 5.256
_cell_length_c 3.359
_cell_angle_alpha 90.00
_cell_angle_beta 90.00
_cell_angle_gamma 90.00
_space_group_name_H-M_alt 'P 4/m m m'
_space_group_IT_number 123
_space_group_name_Hall '-P 4 2'
loop_
_atom_site_label
_atom_site_fract_x
_atom_site_fract_y
_atom_site_fract_z
La1 0.000 0.500 0.000
W1 0.000 0.000 0.500
```

---

[8]
A plane-wave DFT calculation with PBE was carried out for crystalline ReRhI2O at its relaxed geometry.

As for the total moment: 0.0 μB per cell. The calculation puts the density of states at the Fermi level at 5.95 states/eV/f.u. Its uncorrected formation energy is 1.903 eV/f.u. The value obtained for the density is 8.389 g/cm3. The value obtained for the excess energy over the best structure of this formula in the dataset is 0.000 eV per atom.

Geometry as CIF:
```
data_ReRhI2O
_cell_length_a 5.459
_cell_length_b 5.459
_cell_length_c 3.712
_cell_angle_alpha 90.00
_cell_angle_beta 90.00
_cell_angle_gamma 90.00
_space_group_name_H-M_alt 'P 4/m m m'
_space_group_IT_number 123
_space_group_name_Hall '-P 4 2'
loop_
_atom_site_label
_atom_site_fract_x
_atom_site_fract_y
_atom_site_fract_z
Re1 0.000 0.000 0.000
Rh1 0.500 0.500 0.500
I1 0.000 0.500 0.000
O1 0.000 0.000 0.500
```

---

[9]
A plane-wave DFT calculation with PBE was carried out for crystalline Ir3Pb at its relaxed geometry.

As for the total moment: 0.0 μB per cell. The calculation puts the density of states at the Fermi level at 7.53 states/eV/f.u. The value obtained for the density is 18.818 g/cm3.

Geometry as CIF:
```
data_Ir3Pb
_cell_length_a 5.172
_cell_length_b 5.172
_cell_length_c 5.172
_cell_angle_alpha 90.00
_cell_angle_beta 90.00
_cell_angle_gamma 90.00
_space_group_name_H-M_alt 'P m -3 n'
_space_group_IT_number 223
_space_group_name_Hall '-P 4n 2 3'
loop_
_atom_site_label
_atom_site_fract_x
_atom_site_fract_y
_atom_site_fract_z
Ir1 0.000 0.250 0.500
Pb1 0.000 0.000 0.000
```

---

[10]
A plane-wave DFT calculation with PBE was carried out for crystalline SrLaAl at its relaxed geometry.

As for the total moment: 0.0 μB per cell. The calculation puts the density of states at the Fermi level at 1.99 states/eV/f.u. The value obtained for the density is 3.699 g/cm3. The value obtained for the excess energy over the best structure of this formula in the dataset is 0.202 eV per atom.

Geometry as CIF:
```
data_SrLaAl
_cell_length_a 7.356
_cell_length_b 4.715
_cell_length_c 7.518
_cell_angle_alpha 90.00
_cell_angle_beta 119.19
_cell_angle_gamma 90.00
_space_group_name_H-M_alt 'P 1 m 1'
_space_group_IT_number 6
_space_group_name_Hall 'P -2y'
loop_
_atom_site_label
_atom_site_fract_x
_atom_site_fract_y
_atom_site_fract_z
Sr1 0.000 0.000 0.000
Sr2 0.465 0.500 0.933
La1 0.509 0.000 0.454
La2 0.933 0.000 0.449
Al1 0.187 0.500 0.382
Al2 0.820 0.500 0.646
```

---

[11]
A plane-wave DFT calculation with PBE was carried out for crystalline KLa2Re at its relaxed geometry.

As for the total moment: 0.0 μB per cell. The calculation puts the density of states at the Fermi level at 3.63 states/eV/f.u. The value obtained for the density is 5.412 g/cm3. The value obtained for the excess energy over the best structure of this formula in the dataset is 0.225 eV per atom.

Geometry as CIF:
```
data_KLa2Re
_cell_length_a 3.577
_cell_length_b 4.676
_cell_length_c 18.462
_cell_angle_alpha 90.00
_cell_angle_beta 90.00
_cell_angle_gamma 90.00
_space_group_name_H-M_alt 'I m m 2'
_space_group_IT_number 44
_space_group_name_Hall 'I 2 -2'
loop_
_atom_site_label
_atom_site_fract_x
_atom_site_fract_y
_atom_site_fract_z
K1 0.000 0.000 0.000
La1 0.000 0.000 0.688
La2 0.000 0.500 0.832
Re1 0.000 0.500 0.305
```

---

[12]
A plane-wave DFT calculation with PBE was carried out for crystalline Cs3SeBr6 at its relaxed geometry.

As for the total moment: 2.0 μB per cell. The calculation puts the density of states at the Fermi level at 0.00 states/eV/f.u. Its uncorrected formation energy is -10.451 eV/f.u. The value obtained for the density is 3.420 g/cm3. The value obtained for the excess energy over the best structure of this formula in the dataset is 0.006 eV per atom.

Geometry as CIF:
```
data_Cs3SeBr6
_cell_length_a 8.404
_cell_length_b 8.404
_cell_length_c 13.160
_cell_angle_alpha 90.00
_cell_angle_beta 90.00
_cell_angle_gamma 90.00
_space_group_name_H-M_alt 'I 4/m m m'
_space_group_IT_number 139
_space_group_name_Hall '-I 4 2'
loop_
_atom_site_label
_atom_site_fract_x
_atom_site_fract_y
_atom_site_fract_z
Cs1 0.000 0.000 0.000
Cs2 0.000 0.500 0.250
Se1 0.000 0.000 0.500
Br1 0.000 0.000 0.259
Br2 0.216 0.216 0.500
```

---

| no. | electronic total energy (eV per atom) |
| --- | --- |
| 1 | -4.791 |
| 2 | -9.503 |
| 3 | -5.603 |
| 4 | -4.151 |
| 5 | -4.421 |
| 6 | -7.018 |
| 7 | -6.872 |
| 8 | -5.191 |
| 9 | -6.606 |
| 10 | -3.454 |
| 11 | -5.376 |
| 12 | -2.653 |